Here is a relaxed structure of Ho2In3Pd4 from Alexandria via LeMat-Bulk. Energies are from PBE.

Lattice parameters (Å, degrees): 4.7908 4.7813 9.0953 90.18 89.96 59.96
Sites, in units of the cell vectors:
Ho1 0.3345 0.3316 0.7829
Ho2 0.6655 0.6684 0.2171
In1 0.3318 0.3358 0.4131
In2 0.0000 0.0000 0.0000
In3 0.6682 0.6642 0.5869
Pd1 0.6677 0.6653 0.9023
Pd2 0.9978 0.0034 0.3464
Pd3 0.0022 0.9966 0.6536
Pd4 0.3323 0.3347 0.0977

total DFT energy (no corrections): -4.95 eV/atom
space group: C2/m (12)
energy relative to the elements: -0.710 eV per atom

=====

Here is a relaxed structure of HoIn2Pd from Alexandria via LeMat-Bulk. Energies are from PBE.

Lattice parameters (Å, degrees): 4.6018 4.6018 5.6641 66.03 66.03 60.00
Sites, in units of the cell vectors:
Ho1 0.0000 0.0000 0.0000
Pd1 0.5000 0.5000 0.5000
In1 0.7753 0.7753 0.6741
In2 0.2247 0.2247 0.3259

total DFT energy (no corrections): -4.28 eV/atom
space group: R-3m (166)
energy relative to the elements: -0.466 eV per atom

=====

Here is a relaxed structure of HoIn3Pd6 from Alexandria via LeMat-Bulk. Energies are from PBE.

Lattice parameters (Å, degrees): 4.4430 8.4918 9.6531 99.68 90.00 90.00
Sites, in units of the cell vectors:
Ho1 0.2500 0.9391 0.6224
Ho2 0.7500 0.0609 0.3776
In1 0.2500 0.5470 0.3960
In2 0.7500 0.4530 0.6040
In3 0.2500 0.3480 0.8111
In4 0.7500 0.6520 0.1889
In5 0.2500 0.7586 0.9749
In6 0.7500 0.2414 0.0251
Pd1 0.2500 0.4510 0.0994
Pd2 0.7500 0.5490 0.9006
Pd3 0.2500 0.1515 0.2175
Pd4 0.7500 0.8485 0.7825
Pd5 0.2500 0.6286 0.6934
Pd6 0.7500 0.3714 0.3066
Pd7 0.2500 0.2573 0.5182
Pd8 0.7500 0.7427 0.4818
Pd9 0.2500 0.8382 0.2866
Pd10 0.7500 0.1618 0.7134
Pd11 0.2500 0.0644 0.9157
Pd12 0.7500 0.9356 0.0843

total DFT energy (no corrections): -5.01 eV/atom
space group: P2_1/m (11)
energy relative to the elements: -0.616 eV per atom

=====

Here is a relaxed structure of Ho3In3Pd2 from Alexandria via LeMat-Bulk. Energies are from PBE.

Lattice parameters (Å, degrees): 4.5701 4.9709 8.7843 103.25 105.08 90.00
Sites, in units of the cell vectors:
Ho1 0.1537 0.6161 0.3074
Ho2 0.8463 0.3839 0.6926
Ho3 0.0000 0.0000 0.0000
In1 0.6379 0.1134 0.2758
In2 0.5000 0.5000 0.0000
In3 0.3621 0.8866 0.7242
Pd1 0.2336 0.1773 0.4672
Pd2 0.7664 0.8227 0.5328

total DFT energy (no corrections): -4.67 eV/atom
space group: C2/m (12)
energy relative to the elements: -0.629 eV per atom